[1]
Entry from Alexandria: a relaxed structure of SrTaZn2 (PBE).

Properties
Density of states at the Fermi level, states/eV/atom: 0.6742
ΔH_f (0 K), eV/f.u.: 3.07
Magnetization, μB per cell: 11.66
Calculated density, g/cm³: 5.8

abc: 4.918 4.918 18.785
angles: 90.00 90.00 90.00
Fractional positions:
Sr 0.000 0.000 0.000
Sr 0.000 0.500 0.250
Sr 0.500 0.000 0.750
Sr 0.500 0.500 0.500
Ta 0.000 0.000 0.500
Ta 0.000 0.500 0.750
Ta 0.500 0.000 0.250
Ta 0.500 0.500 0.000
Zn 0.057 0.250 0.625
Zn 0.250 0.557 0.875
Zn 0.250 0.943 0.375
Zn 0.443 0.250 0.125
Zn 0.557 0.750 0.125
Zn 0.750 0.057 0.375
Zn 0.750 0.443 0.875
Zn 0.943 0.750 0.625



[2]
Entry from Alexandria: a relaxed structure of SrTaZn2 (PBE).

Properties
Density of states at the Fermi level, states/eV/atom: 0.9315
ΔH_f (0 K), eV/f.u.: 1.72
Magnetization, μB per cell: 0.00
Calculated density, g/cm³: 8.0

abc: 2.995 5.258 10.490
angles: 90.00 90.00 90.00
Fractional positions:
Sr 0.000 0.000 0.000
Sr 0.500 0.500 0.500
Ta 0.000 0.500 0.792
Ta 0.500 0.000 0.292
Zn 0.000 0.000 0.516
Zn 0.000 0.500 0.229
Zn 0.500 0.000 0.729
Zn 0.500 0.500 0.016



[3]
Entry from Alexandria: a relaxed structure of SrTaZn2 (PBE).

Properties
Density of states at the Fermi level, states/eV/atom: 0.5890
ΔH_f (0 K), eV/f.u.: 3.37
Magnetization, μB per cell: 10.98
Calculated density, g/cm³: 7.6

abc: 7.028 7.028 7.028
angles: 90.00 90.00 90.00
Fractional positions:
Sr 0.000 0.000 0.000
Sr 0.000 0.500 0.500
Sr 0.500 0.000 0.500
Sr 0.500 0.500 0.000
Ta 0.250 0.250 0.250
Ta 0.250 0.750 0.750
Ta 0.750 0.250 0.750
Ta 0.750 0.750 0.250
Zn 0.000 0.000 0.500
Zn 0.000 0.500 0.000
Zn 0.250 0.250 0.750
Zn 0.250 0.750 0.250
Zn 0.500 0.000 0.000
Zn 0.500 0.500 0.500
Zn 0.750 0.250 0.250
Zn 0.750 0.750 0.750



[4]
Entry from Alexandria: a relaxed structure of SrTaZn3 (PBE).

Properties
Density of states at the Fermi level, states/eV/atom: 1.2229
ΔH_f (0 K), eV/f.u.: 2.29
Magnetization, μB per cell: 1.22
ΔE to the lowest computed polymorph, meV per atom: 0.0
Calculated density, g/cm³: 5.9

abc: 5.083 5.083 5.083
angles: 90.00 90.00 90.00
Fractional positions:
Sr 0.000 0.000 0.000
Ta 0.500 0.500 0.500
Zn 0.000 0.500 0.500
Zn 0.500 0.000 0.500
Zn 0.500 0.500 0.000



- calculated density of number 3 (SrTaZn2)?
  7.6 g/cm³



- Which of these has the highest calculated density?
  number 2



- Among the records above, which one has the highest ΔH_f (0 K)?
  number 3